Entry 1:
Below is crystalline Zr2TlZnMo at its relaxed geometry, with properties calculated at the GGA-PBEsol level.

a = 4.532 Å, b = 5.239 Å, c = 5.239 Å
α = 90.00°, β = 90.00°, γ = 90.00°
Fractional positions:
Zr 0.000 0.000 0.500
Zr 0.000 0.500 0.000
Tl 0.000 0.000 0.000
Zn 0.500 0.000 0.000
Mo 0.500 0.500 0.500

Output
* formation energy: 1.6367 eV/atom
* crystal system: tetragonal

Entry 2:
Below is crystalline Zr2TlMo at its relaxed geometry, with properties calculated at the GGA-PBEsol level.

a = 3.078 Å, b = 3.078 Å, c = 9.183 Å
α = 90.00°, β = 90.00°, γ = 110.57°
Fractional positions:
Zr 0.000 0.000 0.723
Zr 0.000 0.000 0.277
Mo 0.500 0.500 0.500
Tl 0.500 0.500 0.000

Output
* formation energy: -0.0026 eV/atom
* relative energy among the computed polymorphs: 136 meV/atom
* crystal system: orthorhombic

Entry 3:
Below is crystalline Zr2TlMo at its relaxed geometry, with properties calculated at the GGA-PBEsol level.

a = 3.450 Å, b = 3.450 Å, c = 6.712 Å
α = 90.00°, β = 90.00°, γ = 90.00°
Fractional positions:
Zr 0.000 0.000 0.224
Zr 0.000 0.000 0.776
Tl 0.500 0.500 0.500
Mo 0.500 0.500 0.000

Output
* formation energy: -0.1382 eV/atom
* relative energy among the computed polymorphs: 0 meV/atom
* crystal system: tetragonal

Entry 4:
Below is crystalline VMo2 at its relaxed geometry, with properties calculated at the GGA-PBEsol level.

a = 3.069 Å, b = 3.069 Å, c = 5.085 Å
α = 107.56°, β = 107.56°, γ = 90.00°
Fractional positions:
Mo 0.165 0.165 0.331
Mo 0.835 0.835 0.669
V 0.500 0.500 0.000

Output
* formation energy: -0.1223 eV/atom
* crystal system: tetragonal

Entry 5:
Below is crystalline V2MoW at its relaxed geometry, with properties calculated at the GGA-PBEsol level.

a = 4.300 Å, b = 4.300 Å, c = 4.300 Å
α = 60.00°, β = 60.00°, γ = 60.00°
Fractional positions:
V 0.250 0.250 0.250
V 0.750 0.750 0.750
W 0.000 0.000 0.000
Mo 0.500 0.500 0.500

Output
* formation energy: -0.0989 eV/atom
* crystal system: cubic

Entry 6:
Below is crystalline ZrVMo at its relaxed geometry, with properties calculated at the GGA-PBEsol level.

a = 5.187 Å, b = 5.221 Å, c = 5.221 Å
α = 60.84°, β = 60.21°, γ = 60.21°
Fractional positions:
Zr 0.875 0.375 0.875
Zr 0.125 0.625 0.125
Mo 0.500 0.000 0.500
Mo 0.000 0.000 0.500
V 0.500 0.000 0.000
V 0.500 0.500 0.500

Output
* formation energy: -0.1055 eV/atom
* crystal system: orthorhombic

Entry 7:
Below is crystalline Mo2W at its relaxed geometry, with properties calculated at the GGA-PBEsol level.

a = 2.713 Å, b = 2.713 Å, c = 6.840 Å
α = 97.64°, β = 97.64°, γ = 109.46°
Fractional positions:
W 0.500 0.500 0.000
Mo 0.167 0.167 0.334
Mo 0.833 0.833 0.666

Output
* formation energy: 0.0009 eV/atom
* relative energy among the computed polymorphs: 5 meV/atom
* crystal system: orthorhombic

Entry 8:
Below is crystalline MoW at its relaxed geometry, with properties calculated at the GGA-PBEsol level.

a = 2.579 Å, b = 5.195 Å, c = 5.552 Å
α = 118.22°, β = 103.43°, γ = 90.00°
Fractional positions:
W 0.627 0.979 0.253
W 0.373 0.021 0.747
Mo 0.877 0.529 0.754
Mo 0.123 0.471 0.246

Output
* formation energy: 0.4196 eV/atom
* relative energy among the computed polymorphs: 427 meV/atom
* crystal system: monoclinic

Entry 9:
Below is crystalline MoW at its relaxed geometry, with properties calculated at the GGA-PBEsol level.

a = 3.143 Å, b = 5.200 Å, c = 6.287 Å
α = 107.62°, β = 90.00°, γ = 107.59°
Fractional positions:
W 0.500 0.000 0.000
W 0.167 0.334 0.832
W 0.833 0.666 0.168
Mo 0.834 0.668 0.666
Mo 0.500 0.000 0.500
Mo 0.166 0.332 0.334

Output
* formation energy: 0.0002 eV/atom
* relative energy among the computed polymorphs: 7 meV/atom
* crystal system: monoclinic

Entry 10:
Below is crystalline MoW3 at its relaxed geometry, with properties calculated at the GGA-PBEsol level.

a = 4.460 Å, b = 5.442 Å, c = 5.442 Å
α = 109.47°, β = 90.00°, γ = 90.00°
Fractional positions:
W 0.250 0.125 0.875
W 0.250 0.126 0.376
W 0.750 0.875 0.125
W 0.750 0.376 0.126
W 0.250 0.624 0.874
W 0.750 0.874 0.624
Mo 0.250 0.625 0.375
Mo 0.750 0.375 0.625

Output
* formation energy: -0.0013 eV/atom
* relative energy among the computed polymorphs: 0 meV/atom
* crystal system: orthorhombic

Entry 11:
Below is crystalline MoW at its relaxed geometry, with properties calculated at the GGA-PBEsol level.

a = 3.140 Å, b = 3.140 Å, c = 3.140 Å
α = 90.00°, β = 90.00°, γ = 90.00°
Fractional positions:
W 0.500 0.500 0.500
Mo 0.000 0.000 0.000

Output
* formation energy: -0.0072 eV/atom
* relative energy among the computed polymorphs: 0 meV/atom
* crystal system: cubic

Entry 12:
Below is crystalline MoW at its relaxed geometry, with properties calculated at the GGA-PBEsol level.

a = 2.718 Å, b = 2.718 Å, c = 8.887 Å
α = 90.00°, β = 90.00°, γ = 109.46°
Fractional positions:
Mo 0.250 0.750 0.124
Mo 0.750 0.250 0.876
W 0.750 0.250 0.374
W 0.250 0.750 0.626

Output
* formation energy: 0.0032 eV/atom
* relative energy among the computed polymorphs: 10 meV/atom
* crystal system: orthorhombic

Entry 13:
Below is crystalline MoW at its relaxed geometry, with properties calculated at the GGA-PBEsol level.

a = 4.440 Å, b = 4.440 Å, c = 4.440 Å
α = 60.00°, β = 60.00°, γ = 60.00°
Fractional positions:
W 0.750 0.750 0.750
W 0.500 0.500 0.500
Mo 0.250 0.250 0.250
Mo 0.000 0.000 0.000

Output
* formation energy: -0.0007 eV/atom
* relative energy among the computed polymorphs: 7 meV/atom
* crystal system: cubic

Entry 14:
Below is crystalline Mo2W3 at its relaxed geometry, with properties calculated at the GGA-PBEsol level.

a = 2.967 Å, b = 2.967 Å, c = 10.583 Å
α = 81.94°, β = 81.94°, γ = 60.00°
Fractional positions:
Mo 0.600 0.600 0.199
Mo 0.400 0.400 0.801
W 0.000 0.000 0.000
W 0.200 0.200 0.399
W 0.800 0.800 0.601

Output
* formation energy: 0.4103 eV/atom
* crystal system: trigonal

Entry 15:
Below is crystalline MoW3 at its relaxed geometry, with properties calculated at the GGA-PBEsol level.

a = 4.449 Å, b = 4.449 Å, c = 4.449 Å
α = 60.00°, β = 60.00°, γ = 60.00°
Fractional positions:
W 0.250 0.250 0.250
W 0.750 0.750 0.750
W 0.500 0.500 0.500
Mo 0.000 0.000 0.000

Output
* formation energy: -0.0017 eV/atom
* relative energy among the computed polymorphs: 0 meV/atom
* crystal system: cubic

In μB per formula unit, the M_tot values for the records above are, in order, 0.0; 0.0; 0.0; 0.0; 0.0; 0.0; 0.0; 0.0; 0.0; 0.0; 0.0; 0.0; 0.0; 0.0; 0.0.